Arrangement 1

Compound: ScSb2AsI
Source: Alexandria
Functional: PBE
Structure: optimized geometry

POSCAR file:
```
ScSb2AsI
1.0
5.6220 0.0000 0.0000
0.0000 5.6220 0.0000
0.0000 0.0000 5.3864
Sc Sb As I
1 2 1 1
direct
0.0000 0.0000 0.0000
0.0000 0.5000 0.0000
0.5000 0.0000 0.0000
0.5000 0.5000 0.5000
0.0000 0.0000 0.5000
```

## Properties
The calculated volume is 34.050 Å³/atom.

Arrangement 2

Compound: ScSb2AsI
Source: Alexandria
Functional: PBE
Structure: optimized geometry

POSCAR file:
```
ScSb2AsI
1.0
5.3799 0.0000 0.0000
0.0000 5.3799 0.0000
0.0000 0.0000 5.4417
Sc Sb As I
1 2 1 1
direct
0.0000 0.0000 0.0000
0.0000 0.5000 0.5000
0.5000 0.0000 0.5000
0.5000 0.5000 0.5000
0.5000 0.5000 0.0000
```

## Properties
The calculated volume is 31.500 Å³/atom.

Pick arrangement 1: it beats the second-best structure by 61 meV/atom.

Arrangement 1

Compound: SiSb2AsI
Source: Alexandria
Functional: PBE
Structure: optimized geometry

POSCAR file:
```
SiSb2AsI
1.0
5.3318 0.0000 0.0000
0.0000 5.3318 0.0000
0.0000 0.0000 5.1714
Si Sb As I
1 2 1 1
direct
0.0000 0.0000 0.0000
0.0000 0.5000 0.0000
0.5000 0.0000 0.0000
0.5000 0.5000 0.5000
0.0000 0.0000 0.5000
```

## Properties
The calculated volume is 29.403 Å³/atom.

Arrangement 2

Compound: SiSb2AsI
Source: Alexandria
Functional: PBE
Structure: optimized geometry

POSCAR file:
```
SiSb2AsI
1.0
5.4500 0.0000 0.0000
0.0000 5.4500 0.0000
0.0000 0.0000 5.4323
Si Sb As I
1 2 1 1
direct
0.0000 0.0000 0.0000
0.0000 0.5000 0.5000
0.5000 0.0000 0.5000
0.5000 0.5000 0.5000
0.5000 0.5000 0.0000
```

## Properties
The calculated volume is 32.270 Å³/atom.

Pick arrangement 1: it beats the second-best structure by 163 meV/atom.